# SiPHS2

SiPHS2 after structural relaxation (PBE, the Alexandria database).

The density comes out at 2.2 g/cm3. The total magnetization comes out at 1.42 μB per formula unit. The total energy comes out at -3.51 eV per atom.

The structure belongs to space group P4/mmm (No. 123); the cell edges are 4.552, 4.552 and 4.517 Å and the angles 90.00°, 90.00° and 90.00°. The distinct sites, in fractional coordinates, are Si at (0.000, 0.000, 0.000), P at (0.000, 0.000, 0.500), H at (0.500, 0.500, 0.500) and S at (0.000, 0.500, 0.000).